[1]
VASP calculation (GGA-PBE) on K5NpO6 after structural relaxation.

Values from the calculation:
* SG: C2/m, No. 12
* formation energy without anion corrections: -2071 meV per atom
* calculated density: 3.91 Mg/m³

Cell lengths 6.5277, 6.5277, 6.4577 Å; angles 100.25, 100.25, 119.44 degrees
With the nearest neighbours (Å) after each atom.
Fractional coordinates of all 12 atoms:
K1 0.0000 0.0000 0.0000  4 O 2.67
K2 0.1666 0.8334 0.5000  6 O 2.74-2.79
K3 0.3334 0.6666 0.0000  4 O 2.70
K4 0.6666 0.3334 0.0000  4 O 2.70
K5 0.8334 0.1666 0.5000  6 O 2.74-2.79
Np1 0.5000 0.5000 0.5000  6 O 2.03-2.06
O1 0.1779 0.4341 0.2985  1 Np 2.06
O2 0.3129 0.3129 0.6921  1 Np 2.03
O3 0.4341 0.1779 0.2985  1 Np 2.06
O4 0.5659 0.8221 0.7015  1 Np 2.06
O5 0.6871 0.6871 0.3079  1 Np 2.03
O6 0.8221 0.5659 0.7015  1 Np 2.06

[2]
VASP calculation (GGA-PBE) on K5Np3O12 after structural relaxation.

Values from the calculation:
* SG: P-62m, No. 189
* formation energy without anion corrections: -2483 meV per atom
* calculated density: 5.10 Mg/m³

Cell lengths 10.8559, 10.8559, 3.5025 Å; angles 90.00, 90.00, 120.00 degrees
With the nearest neighbours (Å) after each atom.
Fractional coordinates of all 20 atoms:
K1 0.0000 0.7123 0.0000  7 O 2.77-2.83
K2 0.2877 0.2877 0.0000  7 O 2.77-2.83
K3 0.3333 0.6667 0.0000  6 O 2.81
K4 0.6667 0.3333 0.0000  6 O 2.81
K5 0.7123 0.0000 0.0000  7 O 2.77-2.83
Np1 0.0000 0.3376 0.5000  2 O 1.90
Np2 0.3376 0.0000 0.5000  2 O 1.90
Np3 0.6624 0.6624 0.5000  2 O 1.90
O1 0.0000 0.2192 0.0000  2 Np 2.17
O2 0.0000 0.4569 0.0000  2 Np 2.18
O3 0.2016 0.4340 0.5000  1 Np 1.90
O4 0.2192 0.0000 0.0000  2 Np 2.17
O5 0.2324 0.7984 0.5000  1 Np 1.90
O6 0.4340 0.2016 0.5000  1 Np 1.90
O7 0.4569 0.0000 0.0000  2 Np 2.18
O8 0.5431 0.5431 0.0000  2 Np 2.18
O9 0.5660 0.7676 0.5000  1 Np 1.90
O10 0.7676 0.5660 0.5000  1 Np 1.90
O11 0.7808 0.7808 0.0000  2 Np 2.17
O12 0.7984 0.2324 0.5000  1 Np 1.90

[3]
VASP calculation (GGA-PBE) on K3Np5O12 after structural relaxation.

Values from the calculation:
* SG: Ia-3d, No. 230
* formation energy without anion corrections: -2593 meV per atom
* calculated density: 6.78 Mg/m³

Cell lengths 12.3905, 12.3905, 12.3905 Å; angles 109.47, 109.47, 109.47 degrees
With the nearest neighbours (Å) after each atom.
Fractional coordinates of all 80 atoms:
K1 0.1250 0.2500 0.3750  8 O 2.79-3.04
K2 0.1250 0.3750 0.7500  8 O 2.79-3.04
K3 0.2500 0.3750 0.1250  8 O 2.79-3.04
K4 0.2500 0.8750 0.6250  8 O 2.79-3.04
K5 0.3750 0.1250 0.2500  8 O 2.79-3.04
K6 0.3750 0.7500 0.1250  8 O 2.79-3.04
K7 0.6250 0.2500 0.8750  8 O 2.79-3.04
K8 0.6250 0.8750 0.7500  8 O 2.79-3.04
K9 0.7500 0.1250 0.3750  8 O 2.79-3.04
K10 0.7500 0.6250 0.8750  8 O 2.79-3.04
K11 0.8750 0.6250 0.2500  8 O 2.79-3.04
K12 0.8750 0.7500 0.6250  8 O 2.79-3.04
Np1 0.0000 0.0000 0.0000  6 O 2.17
Np2 0.0000 0.0000 0.5000  6 O 2.17
Np3 0.0000 0.5000 0.0000  6 O 2.17
Np4 0.0000 0.5000 0.5000  6 O 2.17
Np5 0.1250 0.7500 0.8750  4 O 2.11
Np6 0.1250 0.8750 0.2500  4 O 2.11
Np7 0.2500 0.1250 0.8750  4 O 2.11
Np8 0.2500 0.6250 0.3750  4 O 2.11
Np9 0.3750 0.2500 0.6250  4 O 2.11
Np10 0.3750 0.6250 0.7500  4 O 2.11
Np11 0.5000 0.0000 0.0000  6 O 2.17
Np12 0.5000 0.0000 0.5000  6 O 2.17
Np13 0.5000 0.5000 0.0000  6 O 2.17
Np14 0.5000 0.5000 0.5000  6 O 2.17
Np15 0.6250 0.3750 0.2500  4 O 2.11
Np16 0.6250 0.7500 0.3750  4 O 2.11
Np17 0.7500 0.3750 0.6250  4 O 2.11
Np18 0.7500 0.8750 0.1250  4 O 2.11
Np19 0.8750 0.1250 0.7500  4 O 2.11
Np20 0.8750 0.2500 0.1250  4 O 2.11
O1 0.0086 0.1834 0.1101  2 Np 2.11-2.17
O2 0.0086 0.3252 0.8985  2 Np 2.11-2.17
O3 0.0733 0.6834 0.6748  2 Np 2.11-2.17
O4 0.0733 0.8899 0.3985  2 Np 2.11-2.17
O5 0.1015 0.6101 0.4267  2 Np 2.11-2.17
O6 0.1015 0.9914 0.6748  2 Np 2.11-2.17
O7 0.1101 0.0086 0.1834  2 Np 2.11-2.17
O8 0.1101 0.6015 0.9267  2 Np 2.11-2.17
O9 0.1748 0.1834 0.5733  2 Np 2.11-2.17
O10 0.1748 0.4914 0.6015  2 Np 2.11-2.17
O11 0.1834 0.1101 0.0086  2 Np 2.11-2.17
O12 0.1834 0.5733 0.1748  2 Np 2.11-2.17
O13 0.3166 0.3252 0.9267  2 Np 2.11-2.17
O14 0.3166 0.4914 0.3899  2 Np 2.11-2.17
O15 0.3252 0.8985 0.0086  2 Np 2.11-2.17
O16 0.3252 0.9267 0.3166  2 Np 2.11-2.17
O17 0.3899 0.3166 0.4914  2 Np 2.11-2.17
O18 0.3899 0.5733 0.8985  2 Np 2.11-2.17
O19 0.3985 0.0733 0.8899  2 Np 2.11-2.17
O20 0.3985 0.8252 0.5086  2 Np 2.11-2.17
O21 0.4267 0.1015 0.6101  2 Np 2.11-2.17
O22 0.4267 0.8252 0.8166  2 Np 2.11-2.17
O23 0.4914 0.3899 0.3166  2 Np 2.11-2.17
O24 0.4914 0.6015 0.1748  2 Np 2.11-2.17
O25 0.5086 0.3985 0.8252  2 Np 2.11-2.17
O26 0.5086 0.6101 0.6834  2 Np 2.11-2.17
O27 0.5733 0.1748 0.1834  2 Np 2.11-2.17
O28 0.5733 0.8985 0.3899  2 Np 2.11-2.17
O29 0.6015 0.1748 0.4914  2 Np 2.11-2.17
O30 0.6015 0.9267 0.1101  2 Np 2.11-2.17
O31 0.6101 0.4267 0.1015  2 Np 2.11-2.17
O32 0.6101 0.6834 0.5086  2 Np 2.11-2.17
O33 0.6748 0.0733 0.6834  2 Np 2.11-2.17
O34 0.6748 0.1015 0.9914  2 Np 2.11-2.17
O35 0.6834 0.5086 0.6101  2 Np 2.11-2.17
O36 0.6834 0.6748 0.0733  2 Np 2.11-2.17
O37 0.8166 0.4267 0.8252  2 Np 2.11-2.17
O38 0.8166 0.8899 0.9914  2 Np 2.11-2.17
O39 0.8252 0.5086 0.3985  2 Np 2.11-2.17
O40 0.8252 0.8166 0.4267  2 Np 2.11-2.17
O41 0.8899 0.3985 0.0733  2 Np 2.11-2.17
O42 0.8899 0.9914 0.8166  2 Np 2.11-2.17
O43 0.8985 0.0086 0.3252  2 Np 2.11-2.17
O44 0.8985 0.3899 0.5733  2 Np 2.11-2.17
O45 0.9267 0.1101 0.6015  2 Np 2.11-2.17
O46 0.9267 0.3166 0.3252  2 Np 2.11-2.17
O47 0.9914 0.6748 0.1015  2 Np 2.11-2.17
O48 0.9914 0.8166 0.8899  2 Np 2.11-2.17